1.
# SrBe2Sb

A geometry-optimized SrBe2Sb structure (PBE, Alexandria).

Values from the calculation:
calculated density	4.4	g/cm³
N(E_F)	0.913	states/eV per atom
uncorrected formation energy	211	meV per atom
magnetic moment	0.00	Bohr magnetons per cell
E	-3.10	eV per atom

a = 4.228 Å, b = 4.228 Å, c = 16.810 Å
α = 90.00°, β = 90.00°, γ = 120.00°
Fractional coordinates of all 12 atoms:
Sr 0.000 0.000 0.000
Sr 0.333 0.667 0.667
Sr 0.667 0.333 0.333
Be 0.000 0.000 0.209
Be 0.000 0.000 0.791
Be 0.333 0.667 0.458
Be 0.333 0.667 0.875
Be 0.667 0.333 0.125
Be 0.667 0.333 0.542
Sb 0.000 0.000 0.500
Sb 0.333 0.667 0.167
Sb 0.667 0.333 0.833

2.
# TlSn2Br

A geometry-optimized TlSn2Br structure (PBE, Alexandria).

Values from the calculation:
offset from the most stable computed form	0.000	eV per atom
calculated density	6.9	g/cm³
N(E_F)	0.509	states/eV per atom
uncorrected formation energy	-113	meV per atom
magnetic moment	0.00	Bohr magnetons per cell
E	-3.12	eV per atom

a = 4.497 Å, b = 4.497 Å, c = 24.831 Å
α = 90.00°, β = 90.00°, γ = 90.00°
Fractional coordinates of all 16 atoms:
Tl 0.000 0.000 0.000
Tl 0.000 0.500 0.250
Tl 0.500 0.000 0.750
Tl 0.500 0.500 0.500
Sn 0.243 0.250 0.125
Sn 0.250 0.743 0.375
Sn 0.250 0.757 0.875
Sn 0.257 0.250 0.625
Sn 0.743 0.750 0.625
Sn 0.750 0.243 0.875
Sn 0.750 0.257 0.375
Sn 0.757 0.750 0.125
Br 0.000 0.000 0.500
Br 0.000 0.500 0.750
Br 0.500 0.000 0.250
Br 0.500 0.500 0.000

3.
# Sr2LiPuSe4

A geometry-optimized Sr2LiPuSe4 structure (PBE, Alexandria).

Values from the calculation:
calculated density	5.5	g/cm³
N(E_F)	1.739	states/eV per atom
uncorrected formation energy	-1669	meV per atom
magnetic moment	5.00	Bohr magnetons per cell
E	-5.86	eV per atom

a = 7.371 Å, b = 4.319 Å, c = 7.392 Å
α = 90.00°, β = 109.14°, γ = 90.00°
Fractional coordinates of all 8 atoms:
Sr 0.000 0.000 0.000
Sr 0.500 0.500 0.000
Li 0.000 0.500 0.500
Pu 0.500 0.000 0.500
Se 0.248 0.000 0.731
Se 0.258 0.500 0.272
Se 0.742 0.500 0.728
Se 0.752 0.000 0.269

4.
# V2OsC

A geometry-optimized V2OsC structure (PBE, Alexandria).

Values from the calculation:
calculated density	10.9	g/cm³
N(E_F)	0.645	states/eV per atom
magnetic moment	0.00	Bohr magnetons per cell
E	-10.06	eV per atom
formation energy from the elements	-0.388	eV/atom

a = 2.846 Å, b = 2.846 Å, c = 19.809 Å
α = 90.00°, β = 90.00°, γ = 120.00°
Fractional coordinates of all 12 atoms:
V 0.000 0.000 0.225
V 0.000 0.000 0.775
V 0.333 0.667 0.442
V 0.333 0.667 0.892
V 0.667 0.333 0.108
V 0.667 0.333 0.558
Os 0.000 0.000 0.000
Os 0.333 0.667 0.667
Os 0.667 0.333 0.333
C 0.000 0.000 0.500
C 0.333 0.667 0.167
C 0.667 0.333 0.833

5.
# Gd2NpCd

A geometry-optimized Gd2NpCd structure (PBE, Alexandria).

Values from the calculation:
calculated density	10.1	g/cm³
N(E_F)	2.140	states/eV per atom
magnetic moment	32.38	Bohr magnetons per cell
E	-10.32	eV per atom
formation energy from the elements	0.184	eV/atom

a = 3.406 Å, b = 3.406 Å, c = 32.720 Å
α = 90.00°, β = 90.00°, γ = 120.00°
Fractional coordinates of all 12 atoms:
Gd 0.000 0.000 0.250
Gd 0.000 0.000 0.750
Gd 0.333 0.667 0.416
Gd 0.333 0.667 0.917
Gd 0.667 0.333 0.083
Gd 0.667 0.333 0.584
Np 0.000 0.000 0.500
Np 0.333 0.667 0.167
Np 0.667 0.333 0.833
Cd 0.000 0.000 0.000
Cd 0.333 0.667 0.667
Cd 0.667 0.333 0.333

6.
# TbInGe4

A geometry-optimized TbInGe4 structure (PBE, Alexandria).

Values from the calculation:
calculated density	7.4	g/cm³
N(E_F)	0.530	states/eV per atom
magnetic moment	0.00	Bohr magnetons per cell
E	-4.46	eV per atom
formation energy from the elements	-0.157	eV/atom

a = 5.640 Å, b = 5.640 Å, c = 5.640 Å
α = 60.00°, β = 60.00°, γ = 60.00°
Fractional coordinates of all 6 atoms:
Tb 0.000 0.000 0.000
In 0.750 0.750 0.750
Ge 0.375 0.375 0.375
Ge 0.375 0.375 0.876
Ge 0.375 0.876 0.375
Ge 0.876 0.375 0.375

7.
# RuPt2

A geometry-optimized RuPt2 structure (PBE, Alexandria).

Values from the calculation:
calculated density	17.5	g/cm³
N(E_F)	1.438	states/eV per atom
magnetic moment	0.00	Bohr magnetons per cell
E	-7.05	eV per atom
formation energy from the elements	0.071	eV/atom

a = 2.736 Å, b = 2.736 Å, c = 24.913 Å
α = 90.00°, β = 90.00°, γ = 90.00°
Fractional coordinates of all 12 atoms:
Ru 0.000 0.250 0.375
Ru 0.000 0.750 0.625
Ru 0.500 0.250 0.125
Ru 0.500 0.750 0.875
Pt 0.000 0.250 0.798
Pt 0.000 0.250 0.952
Pt 0.000 0.750 0.048
Pt 0.000 0.750 0.202
Pt 0.500 0.250 0.548
Pt 0.500 0.250 0.702
Pt 0.500 0.750 0.298
Pt 0.500 0.750 0.452

8.
# BaY2As

A geometry-optimized BaY2As structure (PBE, Alexandria).

Values from the calculation:
calculated density	4.6	g/cm³
N(E_F)	1.374	states/eV per atom
magnetic moment	0.94	Bohr magnetons per cell
E	-5.38	eV per atom
formation energy from the elements	-0.501	eV/atom

a = 12.659 Å, b = 3.866 Å, c = 6.796 Å
α = 90.00°, β = 121.53°, γ = 90.00°
Fractional coordinates of all 8 atoms:
Ba 0.000 0.000 0.000
Ba 0.500 0.500 0.000
Y 0.140 0.500 0.633
Y 0.336 0.500 0.342
Y 0.640 0.000 0.633
Y 0.836 0.000 0.342
As 0.267 0.000 0.992
As 0.767 0.500 0.992

9.
# LiYSb2Te

A geometry-optimized LiYSb2Te structure (PBE, Alexandria).

Values from the calculation:
offset from the most stable computed form	0.000	eV per atom
calculated density	5.9	g/cm³
N(E_F)	0.731	states/eV per atom
uncorrected formation energy	-170	meV per atom
magnetic moment	0.00	Bohr magnetons per cell
E	-4.12	eV per atom

a = 5.015 Å, b = 5.015 Å, c = 5.256 Å
α = 90.00°, β = 90.00°, γ = 90.00°
Fractional coordinates of all 5 atoms:
Li 0.000 0.000 0.000
Y 0.500 0.500 0.500
Sb 0.000 0.500 0.000
Sb 0.500 0.000 0.000
Te 0.000 0.000 0.500

10.
# La8Tc3I4Br

A geometry-optimized La8Tc3I4Br structure (PBE, Alexandria).

Values from the calculation:
calculated density	6.2	g/cm³
N(E_F)	0.766	states/eV per atom
uncorrected formation energy	-672	meV per atom
magnetic moment	0.00	Bohr magnetons per cell
E	-5.57	eV per atom

a = 9.531 Å, b = 9.531 Å, c = 9.531 Å
α = 54.32°, β = 54.32°, γ = 54.32°
Fractional coordinates of all 16 atoms:
La 0.197 0.744 0.744
La 0.233 0.233 0.233
La 0.256 0.256 0.803
La 0.256 0.803 0.256
La 0.744 0.197 0.744
La 0.744 0.744 0.197
La 0.767 0.767 0.767
La 0.803 0.256 0.256
Tc 0.000 0.000 0.500
Tc 0.000 0.500 0.000
Tc 0.500 0.000 0.000
I 0.000 0.000 0.000
I 0.000 0.500 0.500
I 0.500 0.000 0.500
I 0.500 0.500 0.000
Br 0.500 0.500 0.500

11.
# YScSn2

A geometry-optimized YScSn2 structure (PBE, Alexandria).

Values from the calculation:
offset from the most stable computed form	0.066	eV per atom
calculated density	6.2	g/cm³
N(E_F)	0.923	states/eV per atom
magnetic moment	0.73	Bohr magnetons per cell
E	-5.78	eV per atom
formation energy from the elements	-0.580	eV/atom

a = 4.750 Å, b = 4.750 Å, c = 4.377 Å
α = 90.00°, β = 90.00°, γ = 90.00°
Fractional coordinates of all 4 atoms:
Y 0.000 0.000 0.000
Sc 0.500 0.500 0.000
Sn 0.000 0.500 0.500
Sn 0.500 0.000 0.500

12.
# Zn5Pb

A geometry-optimized Zn5Pb structure (PBE, Alexandria).

Values from the calculation:
calculated density	7.8	g/cm³
N(E_F)	0.188	states/eV per atom
magnetic moment	0.00	Bohr magnetons per cell
E	-1.57	eV per atom
formation energy from the elements	0.109	eV/atom

a = 12.311 Å, b = 3.245 Å, c = 6.331 Å
α = 90.00°, β = 115.43°, γ = 90.00°
Fractional coordinates of all 12 atoms:
Zn 0.000 0.000 0.000
Zn 0.157 0.500 0.954
Zn 0.233 0.000 0.330
Zn 0.267 0.500 0.670
Zn 0.343 0.000 0.046
Zn 0.500 0.500 0.000
Zn 0.657 0.000 0.954
Zn 0.733 0.500 0.330
Zn 0.767 0.000 0.670
Zn 0.843 0.500 0.046
Pb 0.000 0.000 0.500
Pb 0.500 0.500 0.500

13.
# KHfCr3

A geometry-optimized KHfCr3 structure (PBE, Alexandria).

Values from the calculation:
offset from the most stable computed form	0.689	eV per atom
calculated density	5.9	g/cm³
N(E_F)	0.375	states/eV per atom
magnetic moment	10.84	Bohr magnetons per cell
E	-5.72	eV per atom
formation energy from the elements	2.262	eV/atom

a = 4.723 Å, b = 4.723 Å, c = 4.723 Å
α = 90.00°, β = 90.00°, γ = 90.00°
Fractional coordinates of all 5 atoms:
K 0.000 0.000 0.000
Hf 0.500 0.500 0.500
Cr 0.000 0.000 0.500
Cr 0.000 0.500 0.000
Cr 0.500 0.000 0.000

14.
# Pm2SmTm3

A geometry-optimized Pm2SmTm3 structure (PBE, Alexandria).

Values from the calculation:
offset from the most stable computed form	0.006	eV per atom
calculated density	8.0	g/cm³
N(E_F)	1.510	states/eV per atom
magnetic moment	0.00	Bohr magnetons per cell
E	-4.48	eV per atom
formation energy from the elements	0.124	eV/atom

a = 11.738 Å, b = 11.738 Å, c = 10.224 Å
α = 108.27°, β = 108.27°, γ = 17.10°
Fractional coordinates of all 12 atoms:
Pm 0.068 0.068 0.136
Pm 0.310 0.310 0.627
Pm 0.690 0.690 0.373
Pm 0.932 0.932 0.864
Sm 0.312 0.312 0.963
Sm 0.688 0.688 0.037
Tm 0.070 0.070 0.760
Tm 0.306 0.306 0.286
Tm 0.442 0.442 0.555
Tm 0.558 0.558 0.445
Tm 0.694 0.694 0.714
Tm 0.930 0.930 0.240

15.
# AgSbP2Se

A geometry-optimized AgSbP2Se structure (PBE, Alexandria).

Values from the calculation:
calculated density	5.3	g/cm³
N(E_F)	0.960	states/eV per atom
uncorrected formation energy	920	meV per atom
magnetic moment	0.00	Bohr magnetons per cell
E	-3.34	eV per atom

a = 4.771 Å, b = 4.771 Å, c = 5.145 Å
α = 90.00°, β = 90.00°, γ = 90.00°
Fractional coordinates of all 5 atoms:
Ag 0.000 0.000 0.000
Sb 0.500 0.500 0.500
P 0.000 0.500 0.000
P 0.500 0.000 0.000
Se 0.000 0.000 0.500

16.
# Pr2Tc2RhN6

A geometry-optimized Pr2Tc2RhN6 structure (PBE, Alexandria).

Values from the calculation:
calculated density	6.8	g/cm³
N(E_F)	0.320	states/eV per atom
uncorrected formation energy	-164	meV per atom
magnetic moment	0.00	Bohr magnetons per cell
E	-8.13	eV per atom

a = 6.378 Å, b = 6.378 Å, c = 6.378 Å
α = 55.26°, β = 55.26°, γ = 55.26°
Fractional coordinates of all 11 atoms:
Pr 0.203 0.203 0.203
Pr 0.797 0.797 0.797
Tc 0.429 0.429 0.429
Tc 0.571 0.571 0.571
Rh 0.000 0.000 0.000
N 0.225 0.764 0.764
N 0.236 0.236 0.775
N 0.236 0.775 0.236
N 0.764 0.225 0.764
N 0.764 0.764 0.225
N 0.775 0.236 0.236

17.
# Cs2KIF

A geometry-optimized Cs2KIF structure (PBE, Alexandria).

Values from the calculation:
calculated density	3.3	g/cm³
N(E_F)	0.371	states/eV per atom
uncorrected formation energy	-1522	meV per atom
magnetic moment	0.00	Bohr magnetons per cell
E	-2.77	eV per atom

a = 6.561 Å, b = 6.561 Å, c = 5.267 Å
α = 90.00°, β = 90.00°, γ = 90.00°
Fractional coordinates of all 5 atoms:
Cs 0.000 0.500 0.000
Cs 0.500 0.000 0.000
K 0.000 0.000 0.500
I 0.500 0.500 0.500
F 0.000 0.000 0.000

18.
# La3Pm6SmDy2

A geometry-optimized La3Pm6SmDy2 structure (PBE, Alexandria).

Values from the calculation:
calculated density	7.0	g/cm³
N(E_F)	1.678	states/eV per atom
magnetic moment	0.00	Bohr magnetons per cell
E	-4.75	eV per atom
formation energy from the elements	0.019	eV/atom

a = 6.336 Å, b = 6.336 Å, c = 12.134 Å
α = 95.02°, β = 95.02°, γ = 120.04°
Fractional coordinates of all 12 atoms:
La 0.000 0.000 0.000
La 0.333 0.667 0.000
La 0.667 0.333 0.000
Pm 0.084 0.418 0.255
Pm 0.248 0.248 0.745
Pm 0.418 0.084 0.255
Pm 0.582 0.916 0.745
Pm 0.752 0.752 0.255
Pm 0.916 0.582 0.745
Sm 0.500 0.500 0.500
Dy 0.167 0.833 0.500
Dy 0.833 0.167 0.500

19.
# ReSbPtAu2

A geometry-optimized ReSbPtAu2 structure (PBE, Alexandria).

Values from the calculation:
calculated density	11.6	g/cm³
N(E_F)	0.504	states/eV per atom
uncorrected formation energy	1407	meV per atom
magnetic moment	4.27	Bohr magnetons per cell
E	-4.43	eV per atom

a = 5.116 Å, b = 5.116 Å, c = 4.906 Å
α = 90.00°, β = 90.00°, γ = 90.00°
Fractional coordinates of all 5 atoms:
Re 0.000 0.000 0.000
Sb 0.500 0.500 0.000
Pt 0.500 0.500 0.500
Au 0.000 0.500 0.500
Au 0.500 0.000 0.500

20.
# MnNb2Ni

A geometry-optimized MnNb2Ni structure (PBE, Alexandria).

Values from the calculation:
calculated density	8.1	g/cm³
N(E_F)	1.163	states/eV per atom
magnetic moment	0.00	Bohr magnetons per cell
E	-8.52	eV per atom
formation energy from the elements	0.255	eV/atom

a = 3.019 Å, b = 3.019 Å, c = 23.230 Å
α = 90.00°, β = 90.00°, γ = 120.00°
Fractional coordinates of all 12 atoms:
Mn 0.000 0.000 0.000
Mn 0.333 0.667 0.667
Mn 0.667 0.333 0.333
Nb 0.000 0.000 0.253
Nb 0.000 0.000 0.747
Nb 0.333 0.667 0.413
Nb 0.333 0.667 0.920
Nb 0.667 0.333 0.080
Nb 0.667 0.333 0.587
Ni 0.000 0.000 0.500
Ni 0.333 0.667 0.167
Ni 0.667 0.333 0.833